Below is a relaxed structure of PmNdSm2, with properties calculated at the PBE level.

Cell: 5.794 5.794 5.794 Å, 60.00 60.00 60.00°
Atoms (fractional coordinates):
Sm 0.750 0.750 0.750
Nd 0.500 0.500 0.500
Sm 0.250 0.250 0.250
Pm 0.000 0.000 0.000

DFT total energy (eV per atom): -4.60
Calculated formation energy (kJ/mol of atoms): 13.3
Magnetic moment (μB/atom): 0.00
Relative energy among the computed polymorphs (meV per atom): 140
D(E_F) (states/eV/f.u.): 10.610

***

Below is a relaxed structure of Cu2AsSeS, with properties calculated at the PBE level.

Cell: 4.419 5.465 4.419 Å, 90.00 90.00 90.00°
Atoms (fractional coordinates):
Cu 0.500 0.000 0.000
As 0.000 0.000 0.000
S 0.500 0.500 0.500
Cu 0.000 0.000 0.500
Se 0.000 0.500 0.000

DFT total energy (eV per atom): -3.46
Magnetic moment (μB/atom): 0.00
D(E_F) (states/eV/f.u.): 5.157
Energy relative to the elements, uncorrected (eV/atom): 0.63

***

Below is a relaxed structure of Na2SrTl, with properties calculated at the PBE level.

Cell: 4.854 4.854 13.167 Å, 79.38 79.38 90.00°
Atoms (fractional coordinates):
Tl 0.000 0.000 0.000
Tl 0.750 0.250 0.500
Sr 0.250 0.750 0.500
Na 0.661 0.125 0.250
Na 0.875 0.911 0.750
Na 0.089 0.625 0.250
Sr 0.500 0.500 0.000
Na 0.375 0.339 0.750

DFT total energy (eV per atom): -1.71
Calculated formation energy (kJ/mol of atoms): -3.5
Magnetic moment (μB/atom): 0.00
Relative energy among the computed polymorphs (meV per atom): 72
D(E_F) (states/eV/f.u.): 2.363